Compound: SrBePb2
Source: Alexandria via LeMat-Bulk
Functional: PBE
Structure: relaxed

Results
- Total DFT energy (no corrections): -2.975 eV/atom
- Spin magnetization: 0.00 μB per formula unit

Structure (CIF):
```
data_SrBePb2
_chemical_formula_sum 'Sr1 Be1 Pb2'
_cell_length_a 5.9306
_cell_length_b 5.9306
_cell_length_c 5.9306
_cell_angle_alpha 132.10
_cell_angle_beta 132.10
_cell_angle_gamma 70.07
_symmetry_space_group_name_H-M 'P 1'
_symmetry_Int_Tables_number 1
loop_
_symmetry_equiv_pos_as_xyz
'x,y,z'
loop_
_atom_site_label
_atom_site_type_symbol
_atom_site_fract_x
_atom_site_fract_y
_atom_site_fract_z
_atom_site_occupancy
Sr1 Sr 0.0000 0.0000 0.0000 1
Be1 Be 0.5000 0.5000 0.0000 1
Pb1 Pb 0.2500 0.7500 0.5000 1
Pb2 Pb 0.7500 0.2500 0.5000 1
```